Entry 1:
The following is a DFT calculation (PBE) of a geometry-optimized CsTlTeI6 structure.

a b c (Å): 8.650 8.650 7.989
angles (deg): 90.06 90.06 120.19
Positions (direct):
1 Cs 0.000 0.000 0.000
2 Tl 0.666 0.334 0.500
3 Te 0.333 0.667 0.500
4 I 0.046 0.395 0.281
5 I 0.049 0.652 0.720
6 I 0.348 0.397 0.720
7 I 0.348 0.951 0.280
8 I 0.603 0.652 0.280
9 I 0.605 0.954 0.719

Results
energy: -2.279 eV per atom
space group: C2
crystal system: monoclinic
formation energy (no corrections): -4.9 eV per formula unit
D(E_F): 0.000 states/eV per cell

Entry 2:
The following is a DFT calculation (PBE) of a geometry-optimized CaCu2Br structure.

a b c (Å): 7.077 7.077 7.077
angles (deg): 32.89 32.89 32.89
Positions (direct):
1 Ca 0.000 0.000 0.000
2 Cu 0.238 0.238 0.238
3 Cu 0.762 0.762 0.762
4 Br 0.500 0.500 0.500

Results
energy: -2.836 eV per atom
space group: R-3m
crystal system: trigonal
formation energy (no corrections): 0.5 eV per formula unit
D(E_F): 2.104 states/eV per cell
polymorph energy (0 for the lowest one): 0.585 eV per atom